## Cr2CdIr (PBE)

Data for an optimized crystal structure of Cr2CdIr.

Cell: 4.773 4.773 2.730 Å, 90.00 90.00 111.10°
Sites, in units of the cell vectors:
Ir  0.500  0.000  0.500
Cr  0.500  0.500  0.000
Cd  0.000  0.500  0.500
Cr  0.000  0.000  0.000

Output
ΔE_f: 0.42 eV per atom
spin magnetization: 2.43 μB per formula unit
space-group type: Cmmm (65)

## Cr2CdIr (PBE)

Data for an optimized crystal structure of Cr2CdIr.

Cell: 4.842 4.842 4.842 Å, 131.81 131.81 70.53°
Sites, in units of the cell vectors:
Ir  0.500  0.500  0.000
Cd  0.750  0.250  0.500
Cr  0.000  0.000  0.000
Cr  0.250  0.750  0.500

Output
ΔE_f: 0.27 eV per atom
spin magnetization: 0.36 μB per formula unit
space-group type: I-4m2 (119)

## Cr2CdIr (PBE)

Data for an optimized crystal structure of Cr2CdIr.

Cell: 7.067 7.067 5.657 Å, 51.34 51.34 90.00°
Sites, in units of the cell vectors:
Cr  0.375  0.324  0.750
Cr  0.074  0.625  0.250
Ir  0.750  0.250  0.500
Cr  0.875  0.926  0.750
Ir  0.000  0.000  0.000
Cd  0.250  0.750  0.500
Cd  0.500  0.500  0.000
Cr  0.676  0.125  0.250

Output
ΔE_f: 0.80 eV per atom
spin magnetization: 0.00 μB per formula unit
space-group type: I-42d (122)

## CrCd4Ir (PBE)

Data for an optimized crystal structure of CrCd4Ir.

Cell: 5.474 5.474 5.474 Å, 60.00 60.00 60.00°
Sites, in units of the cell vectors:
Ir  0.000  0.000  0.000
Cr  0.750  0.750  0.750
Cd  0.876  0.375  0.375
Cd  0.375  0.876  0.375
Cd  0.375  0.375  0.375
Cd  0.375  0.375  0.876

Output
ΔE_f: 0.50 eV per atom
spin magnetization: 3.65 μB per formula unit
space-group type: F-43m (216)